First-principles (PBE) data for a relaxed structure of Sm5PuSn4, as listed in Alexandria via LeMat-Bulk.

## Properties
The electronic total energy is -5.634 eV per atom. As for the calculated volume: 33.67 Å³/atom. As for the energy of formation from the pure elements: -0.240 eV per atom.

Unit cell a=9.7791 b=9.7791 c=9.7285 alpha=104.73 beta=104.73 gamma=22.01
Sites, in units of the cell vectors:
Sm 0.0000 0.0000 0.0000
Sm 0.3247 0.3247 0.1449
Sm 0.3350 0.3350 0.6870
Sm 0.6650 0.6650 0.3130
Sm 0.6753 0.6753 0.8551
Pu 0.0000 0.0000 0.5000
Sn 0.1669 0.1669 0.5840
Sn 0.4945 0.4945 0.2456
Sn 0.5055 0.5055 0.7544
Sn 0.8331 0.8331 0.4160